Record 1
! KO, PBEsol geometry, DFT meta-GGA SCAN; values from VASP
! E in eV per cell: -101.70
! Space-group type: P-62m, No. 189
! Formation energy without anion corrections in eV/atom: -1.195
&SYSTEM
  ibrav = 0, nat = 12, ntyp = 2
/
ATOMIC_SPECIES
K 39.10 K.upf
O 16.00 O.upf
CELL_PARAMETERS angstrom
6.991 0.000 0.000
-3.495 6.054 0.000
0.000 0.000 5.026
ATOMIC_POSITIONS crystal
K 0.000 0.367 0.000
K 0.000 0.706 0.500
K 0.294 0.294 0.500
K 0.367 0.000 0.000
K 0.633 0.633 0.000
K 0.706 0.000 0.500
O 0.000 0.000 0.150
O 0.000 0.000 0.850
O 0.333 0.667 0.349
O 0.333 0.667 0.651
O 0.667 0.333 0.349
O 0.667 0.333 0.651


Record 2
! K2O, PBEsol geometry, DFT meta-GGA SCAN; values from VASP
! E in eV per cell: -105.20
! Space-group type: C2/m, No. 12
! Formation energy without anion corrections in eV/atom: -1.137
&SYSTEM
  ibrav = 0, nat = 12, ntyp = 2
/
ATOMIC_SPECIES
K 39.10 K.upf
O 16.00 O.upf
CELL_PARAMETERS angstrom
7.301 0.000 0.000
0.000 4.223 0.000
-2.652 0.000 9.905
ATOMIC_POSITIONS crystal
K 0.113 0.000 0.312
K 0.203 0.500 0.100
K 0.297 0.000 0.900
K 0.387 0.500 0.688
K 0.613 0.500 0.312
K 0.703 0.000 0.100
K 0.797 0.500 0.900
K 0.887 0.000 0.688
O 0.094 0.500 0.800
O 0.406 0.000 0.200
O 0.594 0.000 0.800
O 0.906 0.500 0.200


Record 3
! K2O, PBEsol geometry, DFT meta-GGA SCAN; values from VASP
! E in eV per cell: -79.04
! Space-group type: P3, No. 143
! Formation energy without anion corrections in eV/atom: -1.153
&SYSTEM
  ibrav = 0, nat = 9, ntyp = 2
/
ATOMIC_SPECIES
K 39.10 K.upf
O 16.00 O.upf
CELL_PARAMETERS angstrom
6.936 0.000 0.000
-3.468 6.006 0.000
0.000 0.000 4.187
ATOMIC_POSITIONS crystal
K 0.000 0.407 0.000
K 0.000 0.737 0.500
K 0.263 0.263 0.500
K 0.407 0.000 0.000
K 0.593 0.593 0.000
K 0.737 0.000 0.500
O 0.000 0.000 0.000
O 0.333 0.667 0.502
O 0.667 0.333 0.494


Record 4
! K2O, PBEsol geometry, DFT meta-GGA SCAN; values from VASP
! E in eV per cell: -105.14
! Space-group type: Cmc2_1, No. 36
! Formation energy without anion corrections in eV/atom: -1.132
&SYSTEM
  ibrav = 0, nat = 12, ntyp = 2
/
ATOMIC_SPECIES
K 39.10 K.upf
O 16.00 O.upf
CELL_PARAMETERS angstrom
4.203 0.000 0.000
0.000 7.291 0.000
0.000 0.000 8.712
ATOMIC_POSITIONS crystal
K 0.000 0.000 0.000
K 0.000 0.000 0.500
K 0.000 0.333 0.241
K 0.000 0.667 0.741
K 0.500 0.167 0.741
K 0.500 0.500 0.000
K 0.500 0.500 0.500
K 0.500 0.833 0.241
O 0.000 0.335 0.615
O 0.000 0.665 0.115
O 0.500 0.165 0.115
O 0.500 0.835 0.615


Record 5
! KO, PBEsol geometry, DFT meta-GGA SCAN; values from VASP
! E in eV per cell: -136.01
! Space-group type: Cmce, No. 64
! Formation energy without anion corrections in eV/atom: -1.220
&SYSTEM
  ibrav = 0, nat = 16, ntyp = 2
/
ATOMIC_SPECIES
K 39.10 K.upf
O 16.00 O.upf
CELL_PARAMETERS angstrom
6.671 0.000 0.000
0.000 6.928 0.000
0.000 0.000 6.427
ATOMIC_POSITIONS crystal
K 0.250 0.160 0.250
K 0.250 0.340 0.750
K 0.250 0.660 0.250
K 0.250 0.840 0.750
K 0.750 0.160 0.250
K 0.750 0.340 0.750
K 0.750 0.660 0.250
K 0.750 0.840 0.750
O 0.000 0.087 0.569
O 0.000 0.413 0.069
O 0.000 0.587 0.931
O 0.000 0.913 0.431
O 0.500 0.087 0.931
O 0.500 0.413 0.431
O 0.500 0.587 0.569
O 0.500 0.913 0.069


Record 6
! K2O, PBEsol geometry, DFT meta-GGA SCAN; values from VASP
! E in eV per cell: -105.99
! Space-group type: Fm-3m, No. 225
! Formation energy without anion corrections in eV/atom: -1.203
&SYSTEM
  ibrav = 0, nat = 12, ntyp = 2
/
ATOMIC_SPECIES
K 39.10 K.upf
O 16.00 O.upf
CELL_PARAMETERS angstrom
6.342 0.000 0.000
0.000 6.342 0.000
0.000 0.000 6.342
ATOMIC_POSITIONS crystal
K 0.250 0.250 0.250
K 0.250 0.250 0.750
K 0.250 0.750 0.250
K 0.250 0.750 0.750
K 0.750 0.250 0.250
K 0.750 0.250 0.750
K 0.750 0.750 0.250
K 0.750 0.750 0.750
O 0.000 0.000 0.000
O 0.000 0.500 0.500
O 0.500 0.000 0.500
O 0.500 0.500 0.000


Record 7
! KO2, PBEsol geometry, DFT meta-GGA SCAN; values from VASP
! E in eV per cell: -47.35
! Space-group type: I4/mmm, No. 139
! Formation energy without anion corrections in eV/atom: -0.961
! Energy relative to the lowest polymorph listed for this composition in meV/atom: 0
&SYSTEM
  ibrav = 0, nat = 6, ntyp = 2
/
ATOMIC_SPECIES
K 39.10 K.upf
O 16.00 O.upf
CELL_PARAMETERS angstrom
3.853 0.000 0.000
0.000 3.853 0.000
0.000 0.000 6.604
ATOMIC_POSITIONS crystal
K 0.000 0.000 0.000
K 0.500 0.500 0.500
O 0.000 0.000 0.398
O 0.000 0.000 0.602
O 0.500 0.500 0.102
O 0.500 0.500 0.898


Record 8
! K2O, PBEsol geometry, DFT meta-GGA SCAN; values from VASP
! E in eV per cell: -105.07
! Space-group type: P4_2/mcm, No. 132
! Formation energy without anion corrections in eV/atom: -1.126
&SYSTEM
  ibrav = 0, nat = 12, ntyp = 2
/
ATOMIC_SPECIES
K 39.10 K.upf
O 16.00 O.upf
CELL_PARAMETERS angstrom
6.499 0.000 0.000
0.000 6.499 0.000
0.000 0.000 6.497
ATOMIC_POSITIONS crystal
K 0.000 0.000 0.000
K 0.000 0.000 0.500
K 0.000 0.500 0.250
K 0.000 0.500 0.750
K 0.500 0.000 0.250
K 0.500 0.000 0.750
K 0.500 0.500 0.250
K 0.500 0.500 0.750
O 0.268 0.268 0.000
O 0.268 0.732 0.500
O 0.732 0.268 0.500
O 0.732 0.732 0.000